Entry 1:
This record from the Alexandria database describes an optimized crystal structure of YInSb2. The functional is PBE-GGA.

Lattice parameters (Å, degrees): 4.420 5.297 9.544 90.00 90.00 90.00
Space group Cmm2 (No. 35)
One atom of each set of equivalent atoms:
Y: 0.000 0.000 0.000
In: 0.000 0.500 0.246
Sb: 0.000 0.000 0.473
Sb: 0.000 0.500 0.775

Summary:
Formation energy from raw total energies, eV per atom: -0.19
Calculated total energy, eV per atom: -4.549
ρ, g cm⁻³: 6.65

---

Entry 2:
This record from the Alexandria database describes an optimized crystal structure of Ac2NdO. The functional is PBE-GGA.

Lattice parameters (Å, degrees): 3.8183 3.8183 30.7741 90.00 90.00 120.00
Space group R-3m (No. 166, hexagonal axes)
One atom of each set of equivalent atoms:
Ac: 0.0000 0.0000 0.1180
Nd: 0.0000 0.0000 0.0000
O: 0.0000 0.0000 0.5000

Summary:
Formation energy from raw total energies, eV per atom: -0.99
Calculated total energy, eV per atom: -5.474
ρ, g cm⁻³: 7.88

---

Entry 3:
This record from the Alexandria database describes an optimized crystal structure of NbGeSb2. The functional is PBE-GGA.

Lattice parameters (Å, degrees): 6.347 6.347 12.858 90.00 90.00 90.00
Space group I-42d (No. 122)
One atom of each set of equivalent atoms:
Nb: 0.000 0.000 0.000
Ge: 0.000 0.000 0.500
Sb: 0.244 0.250 0.125

Summary:
Formation energy from raw total energies, eV per atom: 0.46
Calculated total energy, eV per atom: -5.270
ρ, g cm⁻³: 5.25

---

Entry 4:
This record from the Alexandria database describes an optimized crystal structure of ZnFe2S. The functional is PBE-GGA.

Lattice parameters (Å, degrees): 6.441 6.441 5.110 90.00 90.00 90.00
Space group I-42d (No. 122)
One atom of each set of equivalent atoms:
Zn: 0.000 0.000 0.000
Fe: 0.176 0.250 0.625
S: 0.000 0.000 0.500

Summary:
Formation energy from raw total energies, eV per atom: 0.26
Offset from the most stable computed form, eV per atom: 0.000
Calculated total energy, eV per atom: -5.319
ρ, g cm⁻³: 6.55

---

Entry 5:
This record from the Alexandria database describes an optimized crystal structure of Tb6HgSe2S3. The functional is PBE-GGA.

Lattice parameters (Å, degrees): 17.721 3.970 8.260 90.00 103.54 90.00
Space group C2/m (No. 12)
One atom of each set of equivalent atoms:
Tb: 0.002 0.000 0.232
Tb: 0.161 0.500 0.093
Tb: 0.171 0.500 0.574
Hg: 0.000 0.500 0.500
Se: 0.169 0.000 0.838
S: 0.000 0.500 0.000
S: 0.168 0.000 0.332

Summary:
Formation energy from raw total energies, eV per atom: -1.65
Calculated total energy, eV per atom: -5.603
ρ, g cm⁻³: 8.28

---

Entry 6:
This record from the Alexandria database describes an optimized crystal structure of Tl12Sb6Pb. The functional is PBE-GGA.

Lattice parameters (Å, degrees): 12.0115 12.0115 14.6545 90.00 90.00 120.00
Space group R-3 (No. 148, hexagonal axes)
One atom of each set of equivalent atoms:
Tl: 0.0486 0.1863 0.3039
Tl: 0.0627 0.8321 0.9185
Sb: 0.0349 0.4382 0.2076
Pb: 0.0000 0.0000 0.5000

Summary:
Formation energy from raw total energies, eV per atom: 0.06
Offset from the most stable computed form, eV per atom: 0.028
Calculated total energy, eV per atom: -2.932
ρ, g cm⁻³: 9.22

---

Entry 7:
This record from the Alexandria database describes an optimized crystal structure of BeNiAs2. The functional is PBE-GGA.

Lattice parameters (Å, degrees): 4.154 4.200 7.085 90.00 90.00 90.00
Space group Amm2 (No. 38)
One atom of each set of equivalent atoms:
Be: 0.000 0.000 0.000
Ni: 0.500 0.000 0.152
As: 0.000 0.000 0.329
As: 0.500 0.000 0.817

Summary:
Calculated total energy, eV per atom: -4.817
ρ, g cm⁻³: 5.85

---

Entry 8:
This record from the Alexandria database describes an optimized crystal structure of Zr4Tc5. The functional is PBE-GGA.

Lattice parameters (Å, degrees): 8.2953 8.2953 5.3898 90.00 90.00 120.00
Space group P6_3/mcm (No. 193)
One atom of each set of equivalent atoms:
Zr: 0.0000 0.0000 0.0000
Zr: 0.0000 0.3780 0.2500
Tc: 0.0000 0.3014 0.7500
Tc: 0.3333 0.6667 0.0000

Summary:
Offset from the most stable computed form, eV per atom: 0.113
Calculated total energy, eV per atom: -9.543
ρ, g cm⁻³: 8.84

---

Entry 9:
This record from the Alexandria database describes an optimized crystal structure of Ca2ZnIn6Pd. The functional is PBE-GGA.

Lattice parameters (Å, degrees): 10.471 10.471 10.471 90.00 90.00 90.00
Space group Fm-3m (No. 225)
One atom of each set of equivalent atoms:
Ca: 0.250 0.250 0.250
Zn: 0.000 0.000 0.000
In: 0.000 0.000 0.248
Pd: 0.000 0.000 0.500

Summary:
Calculated total energy, eV per atom: -2.782
ρ, g cm⁻³: 5.44

---

Entry 10:
This record from the Alexandria database describes an optimized crystal structure of KCdAuSe2. The functional is PBE-GGA.

Lattice parameters (Å, degrees): 5.139 5.139 6.193 90.00 90.00 90.00
Space group P4/mmm (No. 123)
One atom of each set of equivalent atoms:
K: 0.000 0.000 0.000
Cd: 0.500 0.500 0.000
Au: 0.000 0.000 0.500
Se: 0.000 0.500 0.500

Summary:
Formation energy from raw total energies, eV per atom: 0.02
Offset from the most stable computed form, eV per atom: 0.711
Calculated total energy, eV per atom: -2.429
ρ, g cm⁻³: 5.14

---

Entry 11:
This record from the Alexandria database describes an optimized crystal structure of Na2OsF6. The functional is PBE-GGA.

Lattice parameters (Å, degrees): 5.068 5.068 10.345 90.00 90.00 90.00
Space group P4_2/mnm (No. 136)
One atom of each set of equivalent atoms:
Na: 0.000 0.000 0.167
Os: 0.000 0.000 0.500
F: 0.183 0.183 0.354
F: 0.229 0.229 0.000

Summary:
Formation energy from raw total energies, eV per atom: -2.21
Calculated total energy, eV per atom: -5.003
ρ, g cm⁻³: 4.38

---

Entry 12:
This record from the Alexandria database describes an optimized crystal structure of Dy4YEr2. The functional is PBE-GGA.

Lattice parameters (Å, degrees): 16.655 3.516 8.684 90.00 119.60 90.00
Space group C2/m (No. 12)
One atom of each set of equivalent atoms:
Dy: 0.141 0.000 0.333
Dy: 0.205 0.000 0.795
Y: 0.000 0.500 0.500
Er: 0.070 0.500 0.930

Summary:
Offset from the most stable computed form, eV per atom: 0.000
Calculated total energy, eV per atom: -4.820
ρ, g cm⁻³: 8.06